1.
Here is crystalline VRhSeBr2 at its relaxed geometry from Alexandria. Energies are from PBE-GGA.

Geometry as POSCAR:
```
VRhSeBr2
1.0
-4.393 -1.745 1.475
2.169 -2.179 3.882
-0.692 3.935 2.595
Rh Se Br V
1 1 2 1
Cartesian
-1.458 0.006 3.976 Rh
-0.346 1.968 1.297 Se
1.085 -1.089 1.941 Br
-2.197 -0.872 0.738 Br
0.000 0.000 0.000 V
```

Total moment: 0.064 μB per formula unit
Raw formation energy: 0.51 eV per atom
Polymorph energy (0 for the lowest one): 0.00 eV/f.u.

2.
Here is crystalline Sb2PbCl at its relaxed geometry from Alexandria. Energies are from PBE-GGA.

Geometry as POSCAR:
```
Sb2PbCl
1.0
-4.893 4.103 -2.021
3.669 -4.204 -3.705
-2.220 -2.383 0.467
Cl Pb Sb
1 1 2
Cartesian
-3.557 0.860 -0.777 Cl
0.725 -3.293 -1.619 Pb
0.000 0.000 0.000 Sb
-0.612 -0.051 -2.863 Sb
```

Total moment: 0.000 μB per formula unit
Raw formation energy: -0.05 eV per atom
Polymorph energy (0 for the lowest one): 0.78 eV/f.u.

3.
Here is crystalline Rb3CaCu2Cl9 at its relaxed geometry from Alexandria. Energies are from PBE-GGA.

Geometry as POSCAR:
```
Rb3CaCu2Cl9
1.0
7.149 0.000 0.000
-3.574 6.191 0.000
0.000 0.000 8.849
Rb Ca Cu Cl
3 1 2 9
Cartesian
0.000 4.127 5.954 Rb
0.000 0.000 0.000 Rb
3.574 2.064 2.895 Rb
0.000 0.000 4.425 Ca
0.000 4.127 1.368 Cu
3.574 2.064 7.481 Cu
5.282 1.078 6.042 Cl
3.574 4.035 6.042 Cl
1.867 1.078 6.042 Cl
1.708 5.113 2.807 Cl
0.000 2.156 2.807 Cl
-1.708 5.113 2.807 Cl
3.574 0.000 0.000 Cl
-1.787 3.096 0.000 Cl
1.787 3.096 0.000 Cl
```

Total moment: 0.201 μB per formula unit
Raw formation energy: -1.44 eV per atom

4.
Here is crystalline Pm2SmY6 at its relaxed geometry from Alexandria. Energies are from PBE-GGA.

Geometry as POSCAR:
```
Pm2SmY6
1.0
-5.202 -3.976 -0.942
0.322 -0.581 -9.634
4.324 -8.481 1.622
Pm Sm Y
4 2 12
Cartesian
2.408 -6.508 -4.962 Pm
-0.160 -4.942 -2.950 Pm
-2.964 -6.529 -3.991 Pm
-0.396 -8.096 -6.004 Pm
2.546 -8.534 0.045 Sm
-3.102 -4.504 -8.999 Sm
-1.212 -4.727 -6.310 Y
-3.448 -7.331 -7.343 Y
0.656 -8.311 -2.643 Y
2.893 -5.707 -1.610 Y
-1.784 -6.835 -0.513 Y
0.230 -11.356 -4.401 Y
1.228 -6.202 -8.440 Y
-0.786 -1.682 -4.552 Y
2.725 -9.773 -6.259 Y
0.009 -2.637 -0.285 Y
-3.281 -3.265 -2.695 Y
-0.565 -10.400 -8.668 Y
```

Total moment: 0.000 μB per formula unit
Formation enthalpy at 0 K: 0.098 eV per atom

5.
Here is crystalline MnVCr6 at its relaxed geometry from Alexandria. Energies are from PBE-GGA.

Geometry as POSCAR:
```
MnVCr6
1.0
4.538 -0.269 0.286
0.251 4.539 0.286
-0.302 -0.269 4.537
Mn V Cr
1 1 6
Cartesian
2.243 2.000 2.554 Mn
0.000 0.000 0.000 V
0.970 1.932 4.751 Cr
4.450 0.743 2.626 Cr
2.443 4.336 1.575 Cr
3.516 2.068 0.357 Cr
0.037 3.257 2.482 Cr
2.043 -0.336 3.533 Cr
```

Total moment: 0.000 μB per formula unit
Formation enthalpy at 0 K: 0.027 eV per atom
Polymorph energy (0 for the lowest one): 0.00 eV/f.u.

6.
Here is crystalline Pu2USb3Rh4 at its relaxed geometry from Alexandria. Energies are from PBE-GGA.

Geometry as POSCAR:
```
Pu2USb3Rh4
1.0
4.446 0.000 0.000
0.000 4.446 0.000
0.000 0.000 11.056
Pu U Sb Rh
2 1 3 4
Cartesian
2.223 0.000 2.682 Pu
0.000 2.223 8.374 Pu
2.223 2.223 5.528 U
0.000 0.000 5.528 Sb
2.223 0.000 9.625 Sb
0.000 2.223 1.431 Sb
2.223 2.223 0.000 Rh
0.000 0.000 0.000 Rh
2.223 0.000 7.057 Rh
0.000 2.223 3.999 Rh
```

Total moment: 14.203 μB per formula unit
Raw formation energy: -0.54 eV per atom

7.
Here is crystalline LiCu2Pt at its relaxed geometry from Alexandria. Energies are from PBE-GGA.

Geometry as POSCAR:
```
LiCu2Pt
1.0
-1.793 0.463 -2.383
1.191 -2.414 -1.365
-3.918 -3.244 2.318
Cu Li Pt
2 1 1
Cartesian
-0.060 -0.050 0.035 Cu
-1.275 -1.782 -1.298 Cu
-1.934 -1.601 1.144 Li
-3.210 -3.384 -0.153 Pt
```

Total moment: 0.000 μB per formula unit
Formation enthalpy at 0 K: -0.191 eV per atom
Polymorph energy (0 for the lowest one): 0.34 eV/f.u.

8.
Here is crystalline PmZnFeGe2 at its relaxed geometry from Alexandria. Energies are from PBE-GGA.

Geometry as POSCAR:
```
PmZnFeGe2
1.0
5.790 0.000 0.000
0.000 5.510 0.000
0.000 0.000 5.675
Pm Zn Fe Ge
2 2 2 4
Cartesian
1.345 1.377 2.838 Pm
4.445 4.132 2.838 Pm
3.620 4.132 0.000 Zn
2.171 1.377 0.000 Zn
0.000 0.000 0.000 Fe
0.000 2.755 0.000 Fe
4.335 1.377 4.220 Ge
4.335 1.377 1.455 Ge
1.456 4.132 4.220 Ge
1.456 4.132 1.455 Ge
```

Total moment: 1.384 μB per formula unit
Formation enthalpy at 0 K: -0.362 eV per atom

9.
Here is crystalline CaZnPd3 at its relaxed geometry from Alexandria. Energies are from PBE-GGA.

Geometry as POSCAR:
```
CaZnPd3
1.0
-1.822 3.469 2.599
-4.334 -1.473 -1.072
0.024 -2.811 3.769
Zn Ca Pd
1 1 3
Cartesian
0.000 0.000 0.000 Zn
-3.066 -0.408 2.648 Ca
-2.167 -0.737 -0.536 Pd
0.012 -1.406 1.884 Pd
-0.911 1.734 1.299 Pd
```

Total moment: 0.000 μB per formula unit
Formation enthalpy at 0 K: -0.242 eV per atom
Polymorph energy (0 for the lowest one): 1.38 eV/f.u.

10.
Here is crystalline BaZr3As at its relaxed geometry from Alexandria. Energies are from PBE-GGA.

Geometry as POSCAR:
```
BaZr3As
1.0
-3.735 -2.318 2.851
3.277 -0.262 4.080
-1.662 4.691 1.636
As Ba Zr
1 1 3
Cartesian
0.000 0.000 0.000 As
-1.060 1.056 4.284 Ba
1.638 -0.131 2.040 Zr
-0.831 2.346 0.818 Zr
-1.868 -1.159 1.425 Zr
```

Total moment: 0.000 μB per formula unit
Formation enthalpy at 0 K: 0.106 eV per atom
Polymorph energy (0 for the lowest one): 0.00 eV/f.u.

11.
Here is crystalline ZrCr2B at its relaxed geometry from Alexandria. Energies are from PBE-GGA.

Geometry as POSCAR:
```
ZrCr2B
1.0
-3.538 -3.443 2.941
4.527 -2.792 2.177
0.582 -0.534 5.690
Cr B Zr
4 2 2
Cartesian
-0.614 -1.772 2.796 Cr
1.647 -3.171 3.887 Cr
1.941 -3.438 6.732 Cr
0.168 -5.157 8.201 Cr
0.494 -3.118 2.559 B
2.802 -3.222 5.213 B
0.000 0.000 0.000 Zr
-1.231 -3.547 5.595 Zr
```

Total moment: 0.000 μB per formula unit
Formation enthalpy at 0 K: 1.050 eV per atom

12.
Here is crystalline Sn2HgSb2Pb2 at its relaxed geometry from Alexandria. Energies are from PBE-GGA.

Geometry as POSCAR:
```
Sn2HgSb2Pb2
1.0
5.731 0.000 0.000
-2.866 4.963 0.000
0.000 0.000 9.369
Sn Hg Sb Pb
2 1 2 2
Cartesian
2.866 1.654 5.853 Sn
0.000 3.309 3.516 Sn
0.000 0.000 0.000 Hg
2.866 1.654 2.907 Sb
0.000 3.309 6.463 Sb
0.000 0.000 6.399 Pb
0.000 0.000 2.970 Pb
```

Total moment: 0.000 μB per formula unit
Raw formation energy: 0.13 eV per atom